[1]
# Ce2SbP | Alexandria via LeMat-Bulk | PBE | optimized geometry
data_Ce2SbP
_chemical_formula_sum 'Ce6 Sb3 P3'
_symmetry_space_group_name_H-M 'R -3 m'
_symmetry_Int_Tables_number 166
_symmetry_space_group_name_Hall '-R 3 2"'
_cell_length_a 4.2469
_cell_length_b 4.2469
_cell_length_c 21.3810
_cell_angle_alpha 90.00
_cell_angle_beta 90.00
_cell_angle_gamma 120.00
loop_
_atom_site_label
_atom_site_fract_x
_atom_site_fract_y
_atom_site_fract_z
Ce1 0.0000 0.0000 0.2409
Sb1 0.0000 0.0000 0.0000
P1 0.0000 0.0000 0.5000
# Electronic total energy, eV per atom: -6.593
# Calculated density, g/cm3: 6.46
# Formation energy from raw total energies, meV per atom: -1243
# Fermi-level density of states, states/eV/cell: 30.5

---

[2]
# Ce3SbP2 | Alexandria via LeMat-Bulk | PBE | optimized geometry
data_Ce3SbP2
_chemical_formula_sum 'Ce12 Sb4 P8'
_symmetry_space_group_name_H-M 'C m c m'
_symmetry_Int_Tables_number 63
_symmetry_space_group_name_Hall '-C 2c 2'
_cell_length_a 4.729
_cell_length_b 13.550
_cell_length_c 9.971
_cell_angle_alpha 90.00
_cell_angle_beta 90.00
_cell_angle_gamma 90.00
loop_
_atom_site_label
_atom_site_fract_x
_atom_site_fract_y
_atom_site_fract_z
Ce1 0.000 0.098 0.250
Ce2 0.000 0.374 0.048
Sb1 0.000 0.229 0.750
P1 0.000 0.000 0.000
P2 0.000 0.489 0.750
# Distance to the lowest polymorph of the same formula, eV per atom: 0.000
# Electronic total energy, eV per atom: -6.495
# Calculated density, g/cm3: 6.28
# Formation energy from raw total energies, meV per atom: -1038
# Fermi-level density of states, states/eV/cell: 52.7

---

[3]
# Ce6Sb5P | Alexandria via LeMat-Bulk | PBE | optimized geometry
data_Ce6Sb5P
_chemical_formula_sum 'Ce12 Sb10 P2'
_symmetry_space_group_name_H-M 'C 1 2/m 1'
_symmetry_Int_Tables_number 12
_cell_length_a 7.681
_cell_length_b 13.290
_cell_length_c 7.670
_cell_angle_alpha 90.00
_cell_angle_beta 109.53
_cell_angle_gamma 90.00
loop_
_symmetry_equiv_pos_as_xyz
'x,y,z'
'-x,-y,-z'
'-x,y,-z'
'x,-y,z'
'x+1/2,y+1/2,z'
'-x+1/2,-y+1/2,-z'
'-x+1/2,y+1/2,-z'
'x+1/2,-y+1/2,z'
loop_
_atom_site_label
_atom_site_fract_x
_atom_site_fract_y
_atom_site_fract_z
Ce1 0.235 0.000 0.255
Ce2 0.237 0.158 0.738
Sb1 0.000 0.174 0.000
Sb2 0.000 0.335 0.500
Sb3 0.000 0.500 0.000
P1 0.000 0.000 0.500
# Electronic total energy, eV per atom: -6.227
# Calculated density, g/cm3: 6.66
# Formation energy from raw total energies, meV per atom: -1092
# Fermi-level density of states, states/eV/cell: 72.1